Compound: ZnReN2
Source: Alexandria
Functional: meta-GGA SCAN
Structure: single point on PBEsol structure

Output
**Total magnetic moment**: 0.0 μB per cell
**Uncorrected formation energy**: 0.8 eV/f.u.

Cell lengths 2.8700, 2.8700, 6.4856 Å; angles 77.22, 77.22, 60.00 degrees
Element x y z (fractional)
Re 0.5000 0.5000 0.5000
Zn 0.0000 0.0000 0.0000
N 0.1007 0.1007 0.6979
N 0.8993 0.8993 0.3021



Compound: BaSr7
Source: Alexandria
Functional: meta-GGA SCAN
Structure: single point on PBEsol structure

Output
**Total magnetic moment**: 1.0 μB per cell
**Calculated formation energy**: 0.01 eV per atom

Cell lengths 8.4138, 8.4138, 8.4138 Å; angles 60.00, 60.00, 60.00 degrees
Element x y z (fractional)
Sr 0.5000 0.0000 0.0000
Sr 0.0000 0.0000 0.5000
Sr 0.5000 0.5000 0.0000
Sr 0.5000 0.0000 0.5000
Sr 0.5000 0.5000 0.5000
Sr 0.0000 0.5000 0.5000
Sr 0.0000 0.5000 0.0000
Ba 0.0000 0.0000 0.0000



Compound: TiTe2RuI
Source: Alexandria
Functional: meta-GGA SCAN
Structure: single point on PBEsol structure

Output
**Total magnetic moment**: 3.4 μB per cell
**Uncorrected formation energy**: 3.6 eV/f.u.

Cell lengths 5.2036, 5.2036, 5.3292 Å; angles 90.00, 90.00, 90.00 degrees
Each line ends with the local moment (μB).
Element x y z (fractional)
Te 0.5000 0.0000 0.0000  -0.11
Te 0.0000 0.5000 0.0000  -0.11
I 0.0000 0.0000 0.5000  0.03
Ti 0.0000 0.0000 0.0000  0.49
Ru 0.5000 0.5000 0.5000  2.70



Compound: CoRuCl3
Source: Alexandria
Functional: meta-GGA SCAN
Structure: single point on PBEsol structure

Output
**Total magnetic moment**: 4.6 μB per cell
**Uncorrected formation energy**: 0.9 eV/f.u.

Cell lengths 4.4756, 4.4756, 4.4756 Å; angles 90.00, 90.00, 90.00 degrees
Each line ends with the local moment (μB).
Element x y z (fractional)
Ru 0.5000 0.5000 0.5000  2.86
Cl 0.0000 0.5000 0.0000  0.04
Cl 0.5000 0.0000 0.0000  0.04
Cl 0.0000 0.0000 0.5000  0.04
Co 0.0000 0.0000 0.0000  1.34



Compound: La2AlTe
Source: Alexandria
Functional: meta-GGA SCAN
Structure: single point on PBEsol structure

Output
**Total magnetic moment**: 0.0 μB per cell
**Uncorrected formation energy**: -3.5 eV/f.u.
**Energy relative to the lowest polymorph listed for this composition**: 0.092 eV per atom

Cell lengths 3.8354, 5.4335, 5.4335 Å; angles 102.58, 90.00, 90.00 degrees
Element x y z (fractional)
La 0.0000 0.0000 0.5000
La 0.0000 0.5000 0.0000
Te 0.5000 0.0000 0.0000
Al 0.5000 0.5000 0.5000



Compound: P2Au2I
Source: Alexandria
Functional: meta-GGA SCAN
Structure: single point on PBEsol structure

Output
**Total magnetic moment**: 0.0 μB per cell
**Uncorrected formation energy**: 2.4 eV/f.u.

Cell lengths 4.6238, 4.6238, 5.6915 Å; angles 113.97, 113.97, 90.00 degrees
Element x y z (fractional)
P 0.6218 0.6218 0.2437
P 0.3782 0.3782 0.7563
Au 0.2500 0.7500 0.5000
Au 0.7500 0.2500 0.5000
I 0.0000 0.0000 0.0000